(1)
An optimized crystal structure of Zn4CuIr, computed with GGA-PBE. Values from VASP.

```
&SYSTEM
  ibrav = 0, nat = 12, ntyp = 3
/
ATOMIC_SPECIES
Zn 65.41 Zn.upf
Cu 63.55 Cu.upf
Ir 192.22 Ir.upf
CELL_PARAMETERS angstrom
6.0266 0.1113 0.0000
-0.1020 5.8086 0.0000
0.0000 0.0000 5.8058
ATOMIC_POSITIONS crystal
Zn 0.2494 0.0000 0.0002
Zn 0.7506 0.0000 0.5002
Cu 0.5000 0.2500 0.2500
Zn 0.7506 0.5000 0.4998
Zn 0.7506 0.5000 0.0002
Zn 0.2494 0.0000 0.4998
Zn 0.2494 0.5000 0.5002
Cu 0.5000 0.7500 0.7500
Zn 0.2494 0.5000 0.9998
Ir 0.0000 0.2500 0.7500
Zn 0.7506 0.0000 0.9998
Ir 0.0000 0.7500 0.2500
```

## Properties
For the magnetic moment, the calculation gives 0.000 Bohr magnetons per cell. The relative energy among the computed polymorphs is 170 meV per atom. For the formation energy, the calculation gives 0.038 eV per atom. The calculation puts the total energy at -2.97 eV/atom.

=====

(2)
An optimized crystal structure of Zn2CuIr2, computed with GGA-PBE. Values from VASP.

```
&SYSTEM
  ibrav = 0, nat = 10, ntyp = 3
/
ATOMIC_SPECIES
Zn 65.41 Zn.upf
Cu 63.55 Cu.upf
Ir 192.22 Ir.upf
CELL_PARAMETERS angstrom
-1.0536 6.5885 -1.3378
-5.1456 -1.6618 -4.1316
-2.0542 0.1765 2.4874
ATOMIC_POSITIONS crystal
Zn 0.3367 0.1633 0.5000
Cu 0.0000 0.0000 0.0000
Zn 0.6633 0.8367 0.5000
Ir 0.1373 0.3627 0.0000
Ir 0.8627 0.6373 0.0000
Zn 0.8367 0.3367 0.5000
Cu 0.5000 0.5000 0.0000
Ir 0.3627 0.8627 0.0000
Zn 0.1633 0.6633 0.5000
Ir 0.6373 0.1373 0.0000
```

## Properties
For the magnetic moment, the calculation gives 0.000 Bohr magnetons per cell. The relative energy among the computed polymorphs is 144 meV per atom. For the formation energy, the calculation gives 0.100 eV per atom. The calculation puts the total energy at -4.77 eV/atom.

=====

(3)
An optimized crystal structure of ZnCuIr, computed with GGA-PBE. Values from VASP.

```
&SYSTEM
  ibrav = 0, nat = 3, ntyp = 3
/
ATOMIC_SPECIES
Zn 65.41 Zn.upf
Cu 63.55 Cu.upf
Ir 192.22 Ir.upf
CELL_PARAMETERS angstrom
-0.8981 0.8703 2.4337
1.0303 -2.5219 -0.2561
5.7767 2.2243 1.3363
ATOMIC_POSITIONS crystal
Zn 0.6667 0.3333 0.6710
Cu 0.0000 0.0000 0.9950
Ir 0.3333 0.6667 0.3339
```

## Properties
For the magnetic moment, the calculation gives 0.000 Bohr magnetons per cell. The relative energy among the computed polymorphs is 3 meV per atom. For the formation energy, the calculation gives -0.033 eV per atom. The calculation puts the total energy at -4.78 eV/atom.